(1)
First-principles (PBE-GGA) data for a relaxed Sm3Sn3Ir2 crystal, as listed in Alexandria via LeMat-Bulk.

Cell: 8.4766 15.4955 5.9365 Å, 90.00 90.00 90.00°
Last column: nearest neighbours and their distance in Å.
Fractional coordinates of all 32 atoms:
Sm1 0.0326 0.1121 0.1101  2 Ir 3.02-3.27, 4 Sn 3.19-3.36
Sm2 0.0326 0.3879 0.1101  2 Ir 3.02-3.27, 4 Sn 3.19-3.36
Sm3 0.1715 0.2500 0.6377  4 Ir 3.10-3.25, 5 Sn 3.16-3.36
Sm4 0.3285 0.7500 0.1377  4 Ir 3.10-3.25, 5 Sn 3.16-3.36
Sm5 0.4674 0.6121 0.6101  2 Ir 3.02-3.27, 4 Sn 3.19-3.36
Sm6 0.4674 0.8879 0.6101  2 Ir 3.02-3.27, 4 Sn 3.19-3.36
Sm7 0.5326 0.1121 0.3899  2 Ir 3.02-3.27, 4 Sn 3.19-3.36
Sm8 0.5326 0.3879 0.3899  2 Ir 3.02-3.27, 4 Sn 3.19-3.36
Sm9 0.6715 0.2500 0.8623  4 Ir 3.10-3.25, 5 Sn 3.16-3.36
Sm10 0.8285 0.7500 0.3623  4 Ir 3.10-3.25, 5 Sn 3.16-3.36
Sm11 0.9674 0.6121 0.8899  2 Ir 3.02-3.27, 4 Sn 3.19-3.36
Sm12 0.9674 0.8879 0.8899  2 Ir 3.02-3.27, 4 Sn 3.19-3.36
Sn1 0.1774 0.7500 0.6251  2 Ir 2.74
Sn2 0.1877 0.0339 0.6124  3 Ir 2.65-2.79
Sn3 0.1877 0.4661 0.6124  3 Ir 2.65-2.79
Sn4 0.3123 0.5339 0.1124  3 Ir 2.65-2.79
Sn5 0.3123 0.9661 0.1124  3 Ir 2.65-2.79
Sn6 0.3226 0.2500 0.1251  2 Ir 2.74
Sn7 0.6774 0.7500 0.8749  2 Ir 2.74
Sn8 0.6877 0.0339 0.8876  3 Ir 2.65-2.79
Sn9 0.6877 0.4661 0.8876  3 Ir 2.65-2.79
Sn10 0.8123 0.5339 0.3876  3 Ir 2.65-2.79
Sn11 0.8123 0.9661 0.3876  3 Ir 2.65-2.79
Sn12 0.8226 0.2500 0.3749  2 Ir 2.74
Ir1 0.0913 0.6108 0.3676  4 Sn 2.65-2.79
Ir2 0.0913 0.8892 0.3676  4 Sn 2.65-2.79
Ir3 0.4087 0.1108 0.8676  4 Sn 2.65-2.79
Ir4 0.4087 0.3892 0.8676  4 Sn 2.65-2.79
Ir5 0.5913 0.6108 0.1324  4 Sn 2.65-2.79
Ir6 0.5913 0.8892 0.1324  4 Sn 2.65-2.79
Ir7 0.9087 0.1108 0.6324  4 Sn 2.65-2.79
Ir8 0.9087 0.3892 0.6324  4 Sn 2.65-2.79

Output
* DOS(E_F): 0.75 states/eV/atom
* E_tot: -6.223 eV/atom
* space-group type: Pnma, No. 62
* energy relative to the elements: -0.74 eV per atom
* magnetic moment: 0.000 μB/cell

=====

(2)
First-principles (PBE-GGA) data for a relaxed Ho5AgPd4 crystal, as listed in Alexandria via LeMat-Bulk.

Cell: 3.5087 3.5087 17.7111 Å, 90.00 90.00 90.00°
Last column: nearest neighbours and their distance in Å.
Fractional coordinates of all 10 atoms:
Ho1 0.0000 0.0000 0.0000  8 Pd 3.03
Ho2 0.0000 0.0000 0.1969  8 Pd 3.03-3.04
Ho3 0.0000 0.0000 0.3932  4 Pd 3.01, 4 Ag 3.12
Ho4 0.0000 0.0000 0.6068  4 Pd 3.01, 4 Ag 3.12
Ho5 0.0000 0.0000 0.8031  8 Pd 3.03-3.04
Ag1 0.5000 0.5000 0.5000  8 Ho 3.12
Pd1 0.5000 0.5000 0.0986  8 Ho 3.03
Pd2 0.5000 0.5000 0.2965  8 Ho 3.01-3.04
Pd3 0.5000 0.5000 0.7035  8 Ho 3.01-3.04
Pd4 0.5000 0.5000 0.9014  8 Ho 3.03

Output
* DOS(E_F): 0.82 states/eV/atom
* E_tot: -5.434 eV/atom
* space-group type: P4/mmm, No. 123
* energy relative to the elements: -0.78 eV per atom
* magnetic moment: 0.000 μB/cell

=====

(3)
First-principles (PBE-GGA) data for a relaxed Nb2CrCdBr crystal, as listed in Alexandria via LeMat-Bulk.

Cell: 5.1808 5.1808 5.0101 Å, 90.00 90.00 90.00°
Last column: nearest neighbours and their distance in Å.
Fractional coordinates of all 5 atoms:
Nb1 0.0000 0.5000 0.0000  2 Cd 2.59
Nb2 0.5000 0.0000 0.0000  2 Cd 2.59
Cr1 0.0000 0.0000 0.5000  2 Cd 2.51
Cd1 0.0000 0.0000 0.0000  2 Cr 2.51, 4 Nb 2.59
Br1 0.5000 0.5000 0.5000  8 Nb 3.60, 4 Cr 3.66

Output
* DOS(E_F): 1.86 states/eV/atom
* E_tot: -4.581 eV/atom
* space-group type: P4/mmm, No. 123
* magnetic moment: 5.774 μB/cell
* formation energy without anion corrections: 1889 meV per atom

=====

(4)
First-principles (PBE-GGA) data for a relaxed La5Nd3 crystal, as listed in Alexandria via LeMat-Bulk.

Cell: 3.7165 3.7165 20.9845 Å, 90.00 90.00 90.00°
Last column: nearest neighbours and their distance in Å.
Fractional coordinates of all 8 atoms:
La1 0.0000 0.0000 0.0000  8 Nd 3.70, 4 La 3.72
La2 0.0000 0.0000 0.2493  8 La 3.72, 4 Nd 3.72
La3 0.0000 0.0000 0.7507  8 La 3.72, 4 Nd 3.72
La4 0.5000 0.5000 0.3748  8 La 3.72, 4 Nd 3.72
La5 0.5000 0.5000 0.6252  8 La 3.72, 4 Nd 3.72
Nd1 0.0000 0.0000 0.5000  4 Nd 3.72, 8 La 3.72
Nd2 0.5000 0.5000 0.1238  8 La 3.70-3.72, 4 Nd 3.72
Nd3 0.5000 0.5000 0.8762  8 La 3.70-3.72, 4 Nd 3.72

Output
* DOS(E_F): 1.98 states/eV/atom
* E_tot: -4.853 eV/atom
* space-group type: P4/mmm, No. 123
* energy relative to the elements: 0.02 eV per atom
* distance to the lowest polymorph of the same formula: 4.6 meV/atom
* magnetic moment: 0.000 μB/cell